# 1
This record from the Open Quantum Materials Database describes a relaxed structure of ErSiOs. The functional is PBE.

abc: 4.4103 4.4103 4.4103
angles: 60.00 60.00 60.00
With the nearest neighbours (Å) after each atom.
Positions (direct):
Er  0.0000  0.0000  0.0000  4 Os 2.70
Si  0.5000  0.5000  0.5000  4 Os 2.70
Os  0.2500  0.2500  0.2500  4 Er 2.70, 4 Si 2.70

Computed properties:
symmetry = F-43m (216)
crystal system = cubic
DFT total energy = -7.180 eV/atom

***

# 2
This record from the Open Quantum Materials Database describes a relaxed structure of TmCoSi2Pd. The functional is PBE.

abc: 5.6903 5.6903 5.6903
angles: 139.06 139.06 59.28
With the nearest neighbours (Å) after each atom.
Positions (direct):
Tm  0.0000  0.0000  0.0000  8 Si 3.05, 4 Pd 3.17, 4 Co 3.17
Co  0.7500  0.2500  0.5000  4 Si 2.38
Si  0.3811  0.3811  0.0000  1 Si 2.35, 2 Co 2.38, 2 Pd 2.38
Si  0.6189  0.6189  0.0000  1 Si 2.35, 2 Co 2.38, 2 Pd 2.38
Pd  0.2500  0.7500  0.5000  4 Si 2.38

Computed properties:
symmetry = I-4m2 (119)
crystal system = tetragonal
DFT total energy = -6.336 eV/atom

***

# 3
This record from the Open Quantum Materials Database describes a relaxed structure of Ho3ErTl2N2. The functional is PBE.

abc: 3.5083 3.5083 15.6584
angles: 90.00 90.00 120.00
With the nearest neighbours (Å) after each atom.
Positions (direct):
Ho  0.0000  0.0000  0.0000  3 N 2.42
Ho  0.0000  0.0000  0.3323  3 N 2.42
Ho  0.6667  0.3333  0.8318  3 N 2.42
Er  0.6667  0.3333  0.4998  3 N 2.41
Tl  0.0000  0.0000  0.6654  3 Er 3.29, 3 Ho 3.30, 6 Tl 3.51
Tl  0.6667  0.3333  0.1662  6 Ho 3.30, 6 Tl 3.51
N  0.3333  0.6667  0.4170  3 Er 2.41, 3 Ho 2.42
N  0.3333  0.6667  0.9159  6 Ho 2.42

Computed properties:
symmetry = P3m1 (156)
crystal system = trigonal
DFT total energy = -5.974 eV/atom

***

# 4
This record from the Open Quantum Materials Database describes a relaxed structure of ZrZnFeIr. The functional is PBE.

abc: 4.4103 4.4103 4.4103
angles: 60.00 60.00 60.00
With the nearest neighbours (Å) after each atom.
Positions (direct):
Zr  0.0000  0.0000  0.0000  4 Fe 2.70, 4 Ir 2.70
Zn  0.5000  0.5000  0.5000  4 Fe 2.70, 4 Ir 2.70
Fe  0.7500  0.7500  0.7500  4 Zr 2.70, 4 Zn 2.70
Ir  0.2500  0.2500  0.2500  4 Zr 2.70, 4 Zn 2.70

Computed properties:
symmetry = F-43m (216)
crystal system = cubic
DFT total energy = -7.056 eV/atom
ΔE to the lowest computed polymorph = 0.000 eV/atom
DFT formation energy = -0.312 eV per atom

***

# 5
This record from the Open Quantum Materials Database describes a relaxed structure of Dy2MgInPt4. The functional is PBE.

abc: 4.7944 4.7944 6.7112
angles: 90.00 90.00 90.00
With the nearest neighbours (Å) after each atom.
Positions (direct):
Dy  0.0000  0.0000  0.0000  8 Pt 2.95
Dy  0.5000  0.5000  0.5000  8 Pt 2.90
Mg  0.0000  0.0000  0.5000  8 Pt 2.90
In  0.5000  0.5000  0.0000  8 Pt 2.95
Pt  0.0000  0.5000  0.2565  4 Dy 2.90-2.95, 2 Mg 2.90, 2 In 2.95
Pt  0.0000  0.5000  0.7435  4 Dy 2.90-2.95, 2 Mg 2.90, 2 In 2.95
Pt  0.5000  0.0000  0.2565  4 Dy 2.90-2.95, 2 Mg 2.90, 2 In 2.95
Pt  0.5000  0.0000  0.7435  4 Dy 2.90-2.95, 2 Mg 2.90, 2 In 2.95

Computed properties:
symmetry = P4/mmm (123)
crystal system = tetragonal
DFT total energy = -5.681 eV/atom

***

# 6
This record from the Open Quantum Materials Database describes a relaxed structure of YTlCdCo. The functional is PBE.

abc: 4.9074 4.9074 4.9074
angles: 60.00 60.00 60.00
With the nearest neighbours (Å) after each atom.
Positions (direct):
Y  0.0000  0.0000  0.0000  4 Co 3.01, 4 Cd 3.01
Tl  0.5000  0.5000  0.5000  4 Co 3.01, 4 Cd 3.01
Cd  0.2500  0.2500  0.2500  4 Tl 3.01, 4 Y 3.01
Co  0.7500  0.7500  0.7500  4 Tl 3.01, 4 Y 3.01

Computed properties:
symmetry = F-43m (216)
crystal system = cubic
DFT total energy = -4.094 eV/atom
ΔE to the lowest computed polymorph = 0.025 eV/atom

***

# 7
This record from the Open Quantum Materials Database describes a relaxed structure of Y3HoPt4. The functional is PBE.

abc: 5.5756 4.5073 7.0364
angles: 90.00 90.22 90.00
With the nearest neighbours (Å) after each atom.
Positions (direct):
Y  0.0000  0.0000  0.0000  7 Pt 2.87-3.02
Y  0.2196  0.0000  0.4995  7 Pt 2.88-3.04
Y  0.7192  0.5000  0.6361  7 Pt 2.89-3.04
Ho  0.4998  0.5000  0.1362  7 Pt 2.88-3.02
Pt  0.0141  0.5000  0.2728  2 Ho 2.88-3.02, 2 Pt 2.91, 5 Y 2.96-3.04
Pt  0.2071  0.5000  0.7760  6 Y 2.89-3.02, 2 Pt 2.89, 1 Ho 3.01
Pt  0.5130  0.0000  0.8647  5 Y 2.87-3.04, 2 Pt 2.89, 2 Ho 2.96
Pt  0.7042  0.0000  0.3593  5 Y 2.88-3.03, 2 Pt 2.91, 2 Ho 2.97

Computed properties:
symmetry = Pm (6)
crystal system = monoclinic
DFT total energy = -7.295 eV/atom
DFT formation energy = -1.271 eV per atom

***

# 8
This record from the Open Quantum Materials Database describes a relaxed structure of SmCdPd. The functional is PBE.

abc: 8.2130 8.2130 3.3629
angles: 90.00 90.00 120.00
With the nearest neighbours (Å) after each atom.
Positions (direct):
Sm  0.0000  0.2959  0.0000  4 Cd 2.90-2.96, 6 Pd 3.22-3.25
Sm  0.2959  0.0000  0.0000  4 Cd 2.90-2.96, 6 Pd 3.22-3.25
Sm  0.7041  0.7041  0.0000  4 Cd 2.90-2.96, 6 Pd 3.22-3.25
Cd  0.0000  0.0000  0.5000  6 Sm 2.96, 3 Pd 3.04
Cd  0.3333  0.6667  0.0000  3 Sm 2.90, 6 Pd 3.10
Cd  0.6667  0.3333  0.0000  3 Sm 2.90, 6 Pd 3.10
Pd  0.0000  0.6305  0.5000  5 Cd 3.04-3.10, 6 Sm 3.22-3.25, 2 Pd 3.36
Pd  0.3695  0.3695  0.5000  5 Cd 3.04-3.10, 6 Sm 3.22-3.25, 2 Pd 3.36
Pd  0.6305  0.0000  0.5000  5 Cd 3.04-3.10, 6 Sm 3.22-3.25, 2 Pd 3.36

Computed properties:
symmetry = P-62m (189)
crystal system = hexagonal
DFT total energy = -3.880 eV/atom
DFT formation energy = -0.286 eV per atom

***

# 9
This record from the Open Quantum Materials Database describes a relaxed structure of PmBeO3. The functional is PBE.

abc: 3.5960 3.5960 3.5952
angles: 90.00 90.00 90.00
With the nearest neighbours (Å) after each atom.
Positions (direct):
Pm  0.0000  0.0000  0.0000  12 O 2.54
Be  0.5000  0.5000  0.4980  6 O 1.79-1.80
O  0.0000  0.5000  0.5000  2 Be 1.80
O  0.5000  0.0000  0.5000  2 Be 1.80
O  0.5000  0.5000  0.9998  2 Be 1.79-1.80

Computed properties:
symmetry = P4mm (99)
crystal system = tetragonal
DFT total energy = -7.135 eV/atom

***

# 10
This record from the Open Quantum Materials Database describes a relaxed structure of PrZrGa. The functional is PBE.

abc: 4.9725 4.9725 4.9725
angles: 60.00 60.00 60.00
With the nearest neighbours (Å) after each atom.
Positions (direct):
Pr  0.0000  0.0000  0.0000  4 Zr 3.05, 4 Ga 3.05
Zr  0.2500  0.2500  0.2500  4 Pr 3.05
Ga  0.7500  0.7500  0.7500  4 Pr 3.05

Computed properties:
symmetry = F-43m (216)
crystal system = cubic
DFT total energy = -4.715 eV/atom
ΔE to the lowest computed polymorph = 0.771 eV/atom

***

# 11
This record from the Open Quantum Materials Database describes a relaxed structure of Pm2TeS. The functional is PBE.

abc: 4.2758 4.2758 6.0519
angles: 90.00 90.00 90.00
With the nearest neighbours (Å) after each atom.
Positions (direct):
Pm  0.0000  0.0000  0.0000  4 S 3.02, 2 Te 3.03
Pm  0.5000  0.5000  0.5000  4 Te 3.02, 2 S 3.03
Te  0.0000  0.0000  0.5000  6 Pm 3.02-3.03
S  0.5000  0.5000  0.0000  6 Pm 3.02-3.03

Computed properties:
symmetry = P4/mmm (123)
crystal system = tetragonal
DFT total energy = -5.772 eV/atom

***

# 12
This record from the Open Quantum Materials Database describes a relaxed structure of KCuReTeS2. The functional is PBE.

abc: 8.0074 8.0074 9.8506
angles: 90.00 90.00 153.72
With the nearest neighbours (Å) after each atom.
Positions (direct):
K  0.2158  0.7842  0.7500  4 S 3.22, 2 Cu 3.41, 2 Te 3.56
K  0.7842  0.2158  0.2500  4 S 3.22, 2 Cu 3.41, 2 Te 3.56
Cu  0.4692  0.5308  0.2500  2 S 2.23
Cu  0.5308  0.4692  0.7500  2 S 2.23
Re  0.0000  0.0000  0.0000  4 S 2.45
Re  0.0000  0.0000  0.5000  4 S 2.45
Te  0.0881  0.9119  0.2500  2 Cu 2.60, 2 Re 2.82
Te  0.9119  0.0881  0.7500  2 Cu 2.60, 2 Re 2.82
S  0.4000  0.6000  0.0516  1 Cu 2.23, 2 Re 2.45
S  0.4000  0.6000  0.4484  1 Cu 2.23, 2 Re 2.45
S  0.6000  0.4000  0.5516  1 Cu 2.23, 2 Re 2.45
S  0.6000  0.4000  0.9484  1 Cu 2.23, 2 Re 2.45

Computed properties:
symmetry = Cmcm (63)
crystal system = orthorhombic
DFT total energy = -5.076 eV/atom

***

# 13
This record from the Open Quantum Materials Database describes a relaxed structure of AcPrPd3. The functional is PBE.

abc: 13.8539 13.8539 4.4705
angles: 90.00 90.00 163.22
With the nearest neighbours (Å) after each atom.
Positions (direct):
Ac  0.0726  0.9274  0.7500  10 Pd 3.26-3.39
Ac  0.9274  0.0726  0.2500  10 Pd 3.26-3.39
Pr  0.2045  0.7955  0.2500  7 Pd 2.99-3.06
Pr  0.7955  0.2045  0.7500  7 Pd 2.99-3.06
Pd  0.3149  0.6851  0.2500  2 Pd 2.79, 5 Pr 3.03-3.06
Pd  0.3758  0.6242  0.7500  3 Pd 2.67-2.79, 2 Pr 2.99
Pd  0.4731  0.5269  0.7500  3 Pd 2.67-2.68
Pd  0.5269  0.4731  0.2500  3 Pd 2.67-2.68
Pd  0.6242  0.3758  0.2500  3 Pd 2.67-2.79, 2 Pr 2.99
Pd  0.6851  0.3149  0.7500  2 Pd 2.79, 5 Pr 3.03-3.06

Computed properties:
symmetry = Cmcm (63)
crystal system = orthorhombic
DFT total energy = -5.681 eV/atom
DFT formation energy = -0.799 eV per atom

***

# 14
This record from the Open Quantum Materials Database describes a relaxed structure of PaTeNO. The functional is PBE.

abc: 7.8706 5.8669 5.8531
angles: 90.00 90.00 90.00
With the nearest neighbours (Å) after each atom.
Positions (direct):
Pa  0.1545  0.9996  0.2500  1 O 2.19, 4 N 2.40-2.41
Pa  0.1545  0.5004  0.7500  1 O 2.19, 4 N 2.40-2.41
Pa  0.8455  0.0004  0.7500  1 O 2.19, 4 N 2.40-2.41
Pa  0.8455  0.4996  0.2500  1 O 2.19, 4 N 2.40-2.41
Te  0.3194  0.0020  0.7500  1 O 1.95
Te  0.3194  0.4980  0.2500  1 O 1.95
Te  0.6806  0.5020  0.7500  1 O 1.95
Te  0.6806  0.9980  0.2500  1 O 1.95
N  0.0007  0.7500  0.0000  4 Pa 2.40-2.41
N  0.0007  0.7500  0.5000  4 Pa 2.40-2.41
N  0.9993  0.2500  0.0000  4 Pa 2.40-2.41
N  0.9993  0.2500  0.5000  4 Pa 2.40-2.41
O  0.4331  0.5038  0.7500  1 Te 1.95
O  0.4331  0.9962  0.2500  1 Te 1.95
O  0.5669  0.0038  0.7500  1 Te 1.95
O  0.5669  0.4962  0.2500  1 Te 1.95

Computed properties:
symmetry = Pbcm (57)
crystal system = orthorhombic
DFT total energy = -7.373 eV/atom
ΔE to the lowest computed polymorph = 0.088 eV/atom

***

# 15
This record from the Open Quantum Materials Database describes a relaxed structure of TaZnCuOs. The functional is PBE.

abc: 4.3758 4.3758 4.3758
angles: 60.00 60.00 60.00
With the nearest neighbours (Å) after each atom.
Positions (direct):
Ta  0.0000  0.0000  0.0000  4 Os 2.68, 4 Zn 2.68
Zn  0.2500  0.2500  0.2500  4 Ta 2.68, 4 Cu 2.68
Cu  0.5000  0.5000  0.5000  4 Os 2.68, 4 Zn 2.68
Os  0.7500  0.7500  0.7500  4 Ta 2.68, 4 Cu 2.68

Computed properties:
symmetry = F-43m (216)
crystal system = cubic
DFT total energy = -6.883 eV/atom
ΔE to the lowest computed polymorph = 0.135 eV/atom
DFT formation energy = 0.132 eV per atom

***

# 16
This record from the Open Quantum Materials Database describes a relaxed structure of PrGe3AsPt6. The functional is PBE.

abc: 7.3349 7.3349 4.1398
angles: 90.00 90.00 120.00
With the nearest neighbours (Å) after each atom.
Positions (direct):
Pr  0.0000  0.0000  0.0000  6 Pt 3.21, 6 Ge 3.23
Ge  0.3896  0.1948  0.5000  6 Pt 2.47-2.69
Ge  0.8052  0.1948  0.5000  6 Pt 2.47-2.69
Ge  0.8052  0.6104  0.5000  6 Pt 2.47-2.69
As  0.3333  0.6667  0.0000  9 Pt 2.57-2.73
Pt  0.1933  0.3866  0.5000  2 Ge 2.47, 2 As 2.73
Pt  0.1933  0.8067  0.5000  2 Ge 2.47, 2 As 2.73
Pt  0.5357  0.0714  0.0000  1 As 2.57, 4 Ge 2.69
Pt  0.5357  0.4643  0.0000  1 As 2.57, 4 Ge 2.69
Pt  0.6134  0.8067  0.5000  2 Ge 2.47, 2 As 2.73
Pt  0.9286  0.4643  0.0000  1 As 2.57, 4 Ge 2.69

Computed properties:
symmetry = P-6m2 (187)
crystal system = hexagonal
DFT total energy = -5.999 eV/atom

***

# 17
This record from the Open Quantum Materials Database describes a relaxed structure of Na2ZrInS4. The functional is PBE.

abc: 7.2275 7.2275 7.2275
angles: 127.81 127.81 76.94
With the nearest neighbours (Å) after each atom.
Positions (direct):
Na  0.0000  0.0000  0.0000  4 S 2.78
Na  0.7500  0.2500  0.5000  4 S 2.82
Zr  0.2500  0.7500  0.5000  4 S 2.44
In  0.5000  0.5000  0.0000  4 S 2.62
S  0.1545  0.1052  0.5209  1 Zr 2.44, 1 In 2.62
S  0.3664  0.8455  0.9507  1 Zr 2.44, 1 In 2.62
S  0.5843  0.6336  0.4791  1 Zr 2.44, 1 In 2.62
S  0.8948  0.4157  0.0493  1 Zr 2.44, 1 In 2.62

Computed properties:
symmetry = I-4 (82)
crystal system = tetragonal
DFT total energy = -4.845 eV/atom

***

# 18
This record from the Open Quantum Materials Database describes a relaxed structure of TaHg4P3. The functional is PBE.

abc: 3.3541 4.6568 12.2938
angles: 88.66 88.81 89.98
With the nearest neighbours (Å) after each atom.
Positions (direct):
Ta  0.0000  0.0000  0.0000  6 P 2.57-2.58
Hg  0.0180  0.2711  0.7542  6 P 3.21-3.54, 1 Ta 3.25, 6 Hg 3.33-3.54
Hg  0.0180  0.3315  0.4694  3 Hg 2.92-3.23
Hg  0.5060  0.8128  0.5952  9 Hg 3.22-3.54, 1 P 3.41
Hg  0.9846  0.2375  0.2354  1 Hg 2.92, 1 Ta 3.12, 4 P 3.14-3.16
P  0.4905  0.7465  0.1292  1 P 2.23
P  0.5001  0.4193  0.9997  2 P 2.22-2.23
P  0.5103  0.7627  0.8719  1 P 2.22

Computed properties:
symmetry = P1 (1)
crystal system = triclinic
DFT total energy = -3.706 eV/atom
ΔE to the lowest computed polymorph = 0.011 eV/atom

***

# 19
This record from the Open Quantum Materials Database describes a relaxed structure of LiGa2Ni2. The functional is PBE.

abc: 7.0191 7.0191 2.6857
angles: 90.00 90.00 90.00
With the nearest neighbours (Å) after each atom.
Positions (direct):
Li  0.0000  0.0000  0.0000  2 Li 2.69, 4 Ni 2.73, 8 Ga 2.95
Li  0.5000  0.5000  0.0000  2 Li 2.69, 4 Ni 2.73, 8 Ga 2.95
Ga  0.1625  0.3375  0.5000  6 Ni 2.42-2.49, 2 Ga 2.69
Ga  0.3375  0.8375  0.5000  6 Ni 2.42-2.49, 2 Ga 2.69
Ga  0.6625  0.1625  0.5000  6 Ni 2.42-2.49, 2 Ga 2.69
Ga  0.8375  0.6625  0.5000  6 Ni 2.42-2.49, 2 Ga 2.69
Ni  0.1350  0.6350  0.0000  6 Ga 2.42-2.49, 3 Ni 2.68-2.69
Ni  0.3650  0.1350  0.0000  6 Ga 2.42-2.49, 3 Ni 2.68-2.69
Ni  0.6350  0.8650  0.0000  6 Ga 2.42-2.49, 3 Ni 2.68-2.69
Ni  0.8650  0.3650  0.0000  6 Ga 2.42-2.49, 3 Ni 2.68-2.69

Computed properties:
symmetry = P4/mbm (127)
crystal system = tetragonal
DFT total energy = -4.231 eV/atom

***

# 20
This record from the Open Quantum Materials Database describes a relaxed structure of Tb5Tl4Pd. The functional is PBE.

abc: 3.5805 3.5805 20.5704
angles: 90.00 90.00 90.00
With the nearest neighbours (Å) after each atom.
Positions (direct):
Tb  0.0000  0.0000  0.0000  8 Tl 3.31, 4 Tb 3.58
Tb  0.0000  0.0000  0.2082  8 Tl 3.30-3.32, 4 Tb 3.58
Tb  0.0000  0.0000  0.4172  4 Pd 3.05, 4 Tl 3.34, 1 Tb 3.41
Tb  0.0000  0.0000  0.5828  4 Pd 3.05, 4 Tl 3.34, 1 Tb 3.41
Tb  0.0000  0.0000  0.7918  8 Tl 3.30-3.32, 4 Tb 3.58
Tl  0.5000  0.5000  0.1038  8 Tb 3.31-3.32, 4 Tl 3.58
Tl  0.5000  0.5000  0.3110  8 Tb 3.30-3.34, 4 Tl 3.58
Tl  0.5000  0.5000  0.6890  8 Tb 3.30-3.34, 4 Tl 3.58
Tl  0.5000  0.5000  0.8962  8 Tb 3.31-3.32, 4 Tl 3.58
Pd  0.5000  0.5000  0.5000  8 Tb 3.05

Computed properties:
symmetry = P4/mmm (123)
crystal system = tetragonal
DFT total energy = -4.240 eV/atom